Compound: TmZrPb2O6
Source: Alexandria via LeMat-Bulk
Functional: GGA-PBE
Structure: relaxed

The structure in CIF format:
```
data_TmZrPb2O6
_cell_length_a 5.838
_cell_length_b 6.014
_cell_length_c 10.231
_cell_angle_alpha 90.00
_cell_angle_beta 124.74
_cell_angle_gamma 90.00
_symmetry_space_group_name_H-M 'P 1 21/c 1'
_symmetry_Int_Tables_number 14
loop_
_symmetry_equiv_pos_as_xyz
'x,y,z'
'-x,-y,-z'
'-x,y+1/2,-z+1/2'
'x,-y+1/2,z+1/2'
loop_
_atom_site_label
_atom_site_type_symbol
_atom_site_fract_x
_atom_site_fract_y
_atom_site_fract_z
Tm1 Tm 0.000 0.000 0.000
Zr1 Zr 0.500 0.000 0.500
Pb1 Pb 0.241 0.036 0.749
O1 O 0.149 0.190 0.449
O2 O 0.261 0.703 0.447
O3 O 0.361 0.034 0.257
```

Calculated values
* formation energy without anion corrections: -2.297 eV/atom
* calculated density: 8.67 g/cm3
* total energy: -7.32 eV/atom